4
Lattice="3.269 0.000 0.000 0.000 4.148 0.000 0.000 0.000 5.957" Properties=species:S:1:pos:R:3 comment="TlCd2Ir PBE-GGA relaxed" delta_e_f_ev_per_atom=0.274 magmom_total_mub_per_fu=0.0 polymorph_energy_mev_per_atom=126 n_ef_per_ev_atom=0.330 final_energy_ev_per_atom=-2.9903 pbc="T T T"
Cd 0.000 0.000 2.839
Cd 0.000 0.000 0.139
Tl 1.634 2.074 4.468
Ir 1.634 2.074 1.489

4
Lattice="3.165 0.000 0.000 0.000 3.165 0.000 0.000 0.000 8.443" Properties=species:S:1:pos:R:3 comment="TlCd2Ir PBE-GGA relaxed" delta_e_f_ev_per_atom=0.278 magmom_total_mub_per_fu=0.0 polymorph_energy_mev_per_atom=129 n_ef_per_ev_atom=0.395 final_energy_ev_per_atom=-2.9866 pbc="T T T"
Cd 0.000 0.000 0.133
Ir 0.000 0.000 4.137
Tl 1.583 1.583 5.992
Cd 1.583 1.583 2.401

8
Lattice="4.374 0.000 0.000 0.000 4.374 0.000 2.187 2.187 9.862" Properties=species:S:1:pos:R:3 comment="Tl2CdIr PBE-GGA relaxed" delta_e_f_ev_per_atom=0.547 magmom_total_mub_per_fu=0.0 polymorph_energy_mev_per_atom=361 n_ef_per_ev_atom=0.480 final_energy_ev_per_atom=-3.0800 pbc="T T T"
Tl 3.280 3.201 7.397
Tl 3.360 1.093 2.466
Tl 1.014 3.280 2.466
Ir 4.374 2.187 4.931
Ir 0.000 0.000 0.000
Cd 2.187 4.374 4.931
Tl 5.467 5.547 7.397
Cd 2.187 2.187 0.000

8
Lattice="4.075 0.000 0.000 0.000 4.075 0.000 2.037 2.037 10.373" Properties=species:S:1:pos:R:3 comment="TlCd2Ir PBE-GGA relaxed" delta_e_f_ev_per_atom=0.427 magmom_total_mub_per_fu=0.0 polymorph_energy_mev_per_atom=278 n_ef_per_ev_atom=0.583 final_energy_ev_per_atom=-2.8376 pbc="T T T"
Cd 1.098 3.056 2.593
Tl 0.000 0.000 0.000
Cd 5.094 5.015 7.780
Tl 4.075 2.037 5.187
Cd 2.977 1.019 2.593
Cd 3.056 3.135 7.780
Ir 2.037 4.075 5.187
Ir 2.037 2.037 0.000

4
Lattice="0.000 3.504 3.504 3.504 0.000 3.504 3.504 3.504 0.000" Properties=species:S:1:pos:R:3 comment="Tl2CdIr PBE-GGA relaxed" delta_e_f_ev_per_atom=0.495 magmom_total_mub_per_fu=0.0 polymorph_energy_mev_per_atom=308 n_ef_per_ev_atom=0.520 final_energy_ev_per_atom=-3.1325 pbc="T T T"
Tl 1.752 1.752 1.752
Ir 3.504 3.504 3.504
Cd 0.000 0.000 0.000
Tl 5.256 5.256 5.256

4
Lattice="-4.041 1.291 -2.657 -3.944 -3.076 -0.213 -4.253 1.217 2.344" Properties=species:S:1:pos:R:3 comment="Tl2CdIr PBE-GGA relaxed" delta_e_f_ev_per_atom=0.487 magmom_total_mub_per_fu=0.0 polymorph_energy_mev_per_atom=301 n_ef_per_ev_atom=0.429 final_energy_ev_per_atom=-3.1397 pbc="T T T"
Ir -9.178 -0.425 -0.395
Tl -3.059 -0.142 -0.132
Tl 0.000 0.000 0.000
Cd -6.119 -0.284 -0.263